{
  "formula": "Ac6NdTe8",
  "functional": "GGA-PBE",
  "state": "optimized geometry",
  "lattice": [[0.000, 6.657, 6.657], [6.657, 0.000, 6.657], [6.657, 6.657, 0.000]],
  "species": ["Ac", "Ac", "Ac", "Ac", "Ac", "Ac", "Nd", "Te", "Te", "Te", "Te", "Te", "Te", "Te", "Te"],
  "frac_coords": [[0.000, 0.000, 0.500], [0.000, 0.500, 0.000], [0.000, 0.500, 0.500], [0.500, 0.000, 0.000], [0.500, 0.000, 0.500], [0.500, 0.500, 0.000], [0.000, 0.000, 0.000], [0.246, 0.246, 0.754], [0.246, 0.754, 0.246], [0.246, 0.754, 0.754], [0.250, 0.250, 0.250], [0.750, 0.750, 0.750], [0.754, 0.246, 0.246], [0.754, 0.246, 0.754], [0.754, 0.754, 0.246]],
  "raw_formation_energy_ev_per_fu": -22.73,
  "dft_energy_ev_per_cell": -77.28
}



{
  "formula": "Nd2DyIn",
  "functional": "GGA-PBE",
  "state": "optimized geometry",
  "lattice": [[4.917, 0.000, 0.000], [0.000, 4.917, 0.000], [0.000, 0.000, 4.998]],
  "species": ["Nd", "Nd", "Dy", "In"],
  "frac_coords": [[0.000, 0.500, 0.000], [0.500, 0.000, 0.000], [0.000, 0.000, 0.500], [0.500, 0.500, 0.500]],
  "de_polymorph_mev_per_atom": 0,
  "formation_enthalpy_0k_ev_per_fu": -1.08,
  "dft_energy_ev_per_cell": -17.95
}



{
  "formula": "Rb2CdTeSe4",
  "functional": "GGA-PBE",
  "state": "optimized geometry",
  "lattice": [[-4.345, 4.484, 6.319], [4.345, -4.484, 6.319], [4.345, 4.484, -6.319]],
  "species": ["Rb", "Rb", "Rb", "Rb", "Cd", "Cd", "Te", "Te", "Se", "Se", "Se", "Se", "Se", "Se", "Se", "Se"],
  "frac_coords": [[0.000, 0.000, 0.000], [0.500, 0.000, 0.000], [0.500, 0.000, 0.500], [0.500, 0.500, 0.500], [0.000, 0.500, 0.500], [0.500, 0.500, 0.000], [0.000, 0.000, 0.500], [0.000, 0.500, 0.000], [0.199, 0.737, 0.462], [0.224, 0.263, 0.962], [0.228, 0.264, 0.536], [0.228, 0.692, 0.964], [0.772, 0.308, 0.036], [0.772, 0.736, 0.464], [0.776, 0.737, 0.038], [0.801, 0.263, 0.538]],
  "raw_formation_energy_ev_per_fu": -4.50,
  "dft_energy_ev_per_cell": -48.87
}



no.,density (g/cm³)
1,7.1
2,7.8
3,4.9